# Nb2WF, optimized geometry, DFT PBE with a Hubbard U
data_Nb2WF
_cell_length_a 6.6318
_cell_length_b 6.6318
_cell_length_c 6.0886
_cell_angle_alpha 90.00
_cell_angle_beta 90.00
_cell_angle_gamma 90.00
_space_group_name_H-M_alt 'I -4 2 d'
_space_group_IT_number 122
_space_group_name_Hall 'I -4 2bw'
loop_
_atom_site_label
_atom_site_fract_x
_atom_site_fract_y
_atom_site_fract_z
Nb1 0.1882 0.7500 0.1250
W1 0.0000 0.0000 0.5000
F1 0.0000 0.0000 0.0000
# Total DFT energy (no corrections), eV for the cell shown: -113.4
# Density of states at the Fermi level, states/eV per atom: 0.74
# Crystal system: tetragonal
# Offset from the most stable computed form, kcal/mol of atoms: 0.00